CrCuNiO4: optimized geometry, PBE+U.

Summary:
- V: 10.412 Å³/atom
- Total DFT energy (no corrections): -168.583 eV/cell

abc: 5.9162 5.9330 8.3052
angles: 90.00 90.00 90.00
Space group Imma (No. 74)
Inequivalent atoms, fractional coordinates:
Cr: 0.2500 0.2500 0.2500 (multiplicity 4)
Cu: 0.0000 0.2500 0.6235 (multiplicity 4)
Ni: 0.0000 0.0000 0.0000 (multiplicity 4)
O: 0.0000 0.0251 0.2475 (multiplicity 8)
O: 0.2291 0.2500 0.0115 (multiplicity 8)